VASP calculation (PBE) on a relaxed structure of PrNd5Ho2Tm.

```
PrNd5Ho2Tm
1.0
2.8305 -10.2172 0.0000
2.8305 10.2172 0.0000
0.0000 0.0000 10.8081
Pr Nd Ho Tm
2 10 4 2
Cartesian
2.8305 6.0889 5.4040
2.8305 -6.0889 0.0000
2.8305 9.8893 5.5430
2.8305 4.4629 8.6358
2.8305 4.1620 2.1004
2.8305 2.2256 5.5743
2.8305 0.3953 2.5357
2.8305 -0.3953 7.9397
2.8305 -2.2256 0.1702
2.8305 -4.1620 7.5044
2.8305 -4.4629 3.2318
2.8305 -9.8893 0.1390
2.8305 7.9773 2.4925
2.8305 7.8470 8.7088
2.8305 -7.8470 3.3048
2.8305 -7.9773 7.8965
2.8305 1.8467 10.2913
2.8305 -1.8467 4.8873
```

Results
calculated density: 7.23 g/cm3
space-group type: Cmc2_1 (36)
energy: -4.551 eV per atom
DOS(E_F): 1.564 states/eV per atom

***

VASP calculation (PBE) on a relaxed structure of Pr2Nd2HoTm2.

```
Pr2Nd2HoTm2
1.0
5.7139 -2.5552 0.0000
5.7139 2.5552 0.0000
-1.1630 0.0000 8.0012
Pr Nd Ho Tm
2 2 1 2
Cartesian
0.5546 0.0000 1.7689
9.7102 0.0000 6.2323
3.9860 0.0000 0.5790
6.2788 0.0000 7.4222
5.1324 0.0000 4.0006
1.7149 0.0000 5.1157
8.5499 0.0000 2.8855
```

Results
calculated density: 7.63 g/cm3
space-group type: C2/m (12)
energy: -4.637 eV per atom
DOS(E_F): 1.414 states/eV per atom

***

VASP calculation (PBE) on a relaxed structure of Pr4NdHoTm2.

```
Pr4NdHoTm2
1.0
5.1501 0.0000 0.0000
0.0000 5.1813 0.0000
-0.0019 0.0000 10.1251
Pr Nd Ho Tm
4 1 1 2
Cartesian
0.0046 0.0000 2.5012
2.5707 2.5906 7.6167
2.5775 2.5906 2.5084
5.1437 0.0000 7.6239
2.5741 0.0000 5.0625
0.0000 2.5906 0.0000
-0.0009 2.5906 5.0625
2.5751 0.0000 0.0000
```

Results
calculated density: 7.44 g/cm3
space-group type: P2/m (10)
energy: -4.663 eV per atom
DOS(E_F): 1.322 states/eV per atom

***

VASP calculation (PBE) on a relaxed structure of Pr4Nd2HoTm2.

```
Pr4Nd2HoTm2
1.0
7.7434 -2.5801 0.0000
7.7434 2.5801 0.0000
-2.5872 0.0000 7.6687
Pr Nd Ho Tm
4 2 1 2
Cartesian
-0.0071 0.0000 2.5245
2.5712 0.0000 5.1467
10.3284 0.0000 2.5220
12.9067 0.0000 5.1442
5.1604 0.0000 2.5233
7.7392 0.0000 5.1454
7.7434 0.0000 0.0000
0.0010 0.0000 7.6670
12.8986 0.0000 0.0017
```

Results
calculated density: 7.34 g/cm3
space-group type: C2/m (12)
energy: -4.660 eV per atom
DOS(E_F): 1.661 states/eV per atom